[1]
Nb2Pd7Au2 PBE relaxed; magnetic moment = 0.0 μB per cell; final energy = -5.622 eV/atom; formation enthalpy at 0 K = 0.109 eV/atom; crystal system = orthorhombic
1.0
2.7265 -4.7219 0.0000
2.7265 4.7219 0.0000
0.0000 0.0000 7.7047
Nb Pd Au
2 7 2
direct
0.2478 0.2478 0.0000
0.7522 0.7522 0.0000
0.0000 0.0000 0.5000
0.0000 0.5000 0.1795
0.0000 0.5000 0.8205
0.5000 0.0000 0.1795
0.5000 0.0000 0.8205
0.5000 0.5000 0.2892
0.5000 0.5000 0.7108
0.2773 0.7227 0.5000
0.7227 0.2773 0.5000

***

[2]
Nb2Pd4Au PBE relaxed; magnetic moment = 0.0 μB per cell; final energy = -6.552 eV/atom; formation enthalpy at 0 K = -0.240 eV/atom; crystal system = triclinic
1.0
5.4229 0.0000 0.0000
1.6686 6.6151 0.0000
2.5441 2.5679 6.4176
Nb Pd Au
4 8 2
direct
0.0000 0.0000 0.0000
0.0882 0.4033 0.0157
0.5558 0.3134 0.1319
0.8359 0.4396 0.7015
0.1193 0.5871 0.2803
0.2164 0.9809 0.2948
0.2573 0.1659 0.5782
0.3607 0.5356 0.5900
0.4171 0.7264 0.8488
0.5211 0.1145 0.8757
0.6463 0.6855 0.1534
0.7931 0.2609 0.4353
0.6862 0.8785 0.4171
0.9447 0.8272 0.7222

***

[3]
Nb4Pd5Au PBE relaxed; magnetic moment = 0.0 μB per cell; final energy = -7.021 eV/atom; formation enthalpy at 0 K = -0.069 eV/atom; crystal system = orthorhombic
1.0
8.1612 0.0000 0.0000
0.0000 9.0923 0.0000
0.0000 0.0000 4.7517
Nb Pd Au
8 10 2
direct
0.0610 0.2500 0.0382
0.2500 0.5696 0.2412
0.2500 0.9304 0.2412
0.4390 0.2500 0.0382
0.5610 0.7500 0.9618
0.7500 0.0696 0.7588
0.7500 0.4304 0.7588
0.9390 0.7500 0.9618
0.0814 0.0106 0.7455
0.0814 0.4894 0.7455
0.2500 0.2500 0.4909
0.4186 0.0106 0.7455
0.4186 0.4894 0.7455
0.5814 0.5106 0.2545
0.5814 0.9894 0.2545
0.7500 0.7500 0.5091
0.9186 0.5106 0.2545
0.9186 0.9894 0.2545
0.2500 0.7500 0.7054
0.7500 0.2500 0.2946

***

[4]
NbPd2Au PBE relaxed; magnetic moment = 0.0 μB per cell; final energy = -6.217 eV/atom; formation enthalpy at 0 K = -0.284 eV/atom; crystal system = monoclinic
1.0
4.9840 0.0000 0.0000
0.0000 5.6350 0.0000
-1.8218 0.0000 4.6557
Nb Pd Au
2 4 2
direct
0.0000 0.0000 0.0000
0.5000 0.4785 0.5000
0.0000 0.2406 0.5000
0.0000 0.4892 0.0000
0.0000 0.7360 0.5000
0.5000 0.2386 0.0000
0.5000 0.7330 0.0000
0.5000 0.9853 0.5000

***

[5]
NbPd8Au2 PBE relaxed; magnetic moment = 0.0 μB per cell; final energy = -5.110 eV/atom; formation enthalpy at 0 K = 0.178 eV/atom; crystal system = monoclinic
1.0
5.0499 -4.4060 0.0000
5.0499 4.4060 0.0000
-1.3451 0.0000 4.6586
Nb Pd Au
1 8 2
direct
0.0000 0.0000 0.0000
0.1657 0.6756 0.1946
0.2718 0.2718 0.1109
0.3244 0.8343 0.8054
0.4272 0.4272 0.7070
0.5728 0.5728 0.2930
0.6756 0.1657 0.1946
0.7282 0.7282 0.8891
0.8343 0.3244 0.8054
0.1527 0.1527 0.5409
0.8473 0.8473 0.4591

***

[6]
NbPd2Au2 PBE relaxed; magnetic moment = 0.0 μB per cell; final energy = -5.345 eV/atom; formation enthalpy at 0 K = 0.057 eV/atom; crystal system = tetragonal
1.0
6.9436 0.0000 0.0000
0.0000 6.9436 0.0000
0.0000 0.0000 3.6683
Nb Pd Au
2 4 4
direct
0.0000 0.0000 0.0000
0.5000 0.5000 0.0000
0.1383 0.3617 0.0000
0.3617 0.8617 0.0000
0.6383 0.1383 0.0000
0.8617 0.6383 0.0000
0.1618 0.6617 0.5000
0.3382 0.1618 0.5000
0.6617 0.8382 0.5000
0.8382 0.3382 0.5000

***

[7]
Nb2PdAu2 PBE relaxed; magnetic moment = 0.0 μB per cell; final energy = -6.215 eV/atom; formation enthalpy at 0 K = 0.162 eV/atom; crystal system = tetragonal
1.0
8.0670 0.0000 0.0000
0.0000 8.0670 0.0000
0.0000 0.0000 2.8724
Nb Pd Au
4 2 4
direct
0.1230 0.3770 0.0000
0.3770 0.8770 0.0000
0.6230 0.1230 0.0000
0.8770 0.6230 0.0000
0.0000 0.0000 0.0000
0.5000 0.5000 0.0000
0.1717 0.6717 0.5000
0.3283 0.1717 0.5000
0.6717 0.8283 0.5000
0.8283 0.3283 0.5000

***

[8]
NbPd2PtAu PBE relaxed; magnetic moment = 0.0 μB per cell; final energy = -6.134 eV/atom; formation enthalpy at 0 K = -0.179 eV/atom; crystal system = monoclinic
1.0
5.9310 0.0000 0.0000
0.0000 4.4346 0.0000
-1.5492 0.0000 6.8973
Nb Pd Pt Au
2 4 2 2
direct
0.0628 0.2500 0.2067
0.9372 0.7500 0.7933
0.1200 0.7500 0.4578
0.3872 0.2500 0.5423
0.6128 0.7500 0.4577
0.8800 0.2500 0.5422
0.1906 0.2500 0.8848
0.8094 0.7500 0.1152
0.4494 0.7500 0.8073
0.5506 0.2500 0.1927

***

[9]
Nb2RePdAu PBE relaxed; magnetic moment = 0.0 μB per cell; final energy = -6.509 eV/atom; formation enthalpy at 0 K = 1.702 eV/atom; crystal system = tetragonal
1.0
4.7258 0.0000 0.0000
0.0000 4.7258 0.0000
0.0000 0.0000 4.7855
Nb Re Pd Au
2 1 1 1
direct
0.0000 0.5000 0.0000
0.5000 0.0000 0.0000
0.0000 0.0000 0.5000
0.5000 0.5000 0.0000
0.5000 0.5000 0.5000

***

[10]
NbPdRhAu PBE relaxed; magnetic moment = 0.0 μB per cell; final energy = -6.672 eV/atom; formation enthalpy at 0 K = -0.199 eV/atom; crystal system = cubic
1.0
0.0000 3.1948 3.1948
3.1948 0.0000 3.1948
3.1948 3.1948 0.0000
Nb Pd Rh Au
1 1 1 1
direct
0.0000 0.0000 0.0000
0.2500 0.2500 0.2500
0.7500 0.7500 0.7500
0.5000 0.5000 0.5000

***

[11]
NbPdRhAu PBE relaxed; magnetic moment = 0.0 μB per cell; final energy = -6.820 eV/atom; formation enthalpy at 0 K = -0.347 eV/atom; crystal system = tetragonal
1.0
-2.0256 2.0256 3.9125
2.0256 -2.0256 3.9125
2.0256 2.0256 -3.9125
Nb Pd Rh Au
1 1 1 1
direct
0.0000 0.0000 0.0000
0.2500 0.7500 0.5000
0.7500 0.2500 0.5000
0.5000 0.5000 0.0000

***

[12]
NbSbPdAu PBE relaxed; magnetic moment = 0.0 μB per cell; final energy = -5.786 eV/atom; formation energy (no corrections) = -0.120 eV/atom; crystal system = cubic
1.0
0.0000 3.3263 3.3263
3.3263 0.0000 3.3263
3.3263 3.3263 0.0000
Nb Sb Pd Au
1 1 1 1
direct
0.0000 0.0000 0.0000
0.2500 0.2500 0.2500
0.5000 0.5000 0.5000
0.7500 0.7500 0.7500

***

[13]
ScNbPdAu2 PBE relaxed; magnetic moment = 0.0 μB per cell; final energy = -5.051 eV/atom; formation enthalpy at 0 K = 0.579 eV/atom; crystal system = tetragonal
1.0
5.0604 0.0000 0.0000
0.0000 5.0604 0.0000
0.0000 0.0000 4.8150
Sc Nb Pd Au
1 1 1 2
direct
0.0000 0.0000 0.0000
0.5000 0.5000 0.5000
0.5000 0.5000 0.0000
0.0000 0.5000 0.5000
0.5000 0.0000 0.5000

***

[14]
NbSiPd2Au PBE relaxed; magnetic moment = 0.0 μB per cell; final energy = -4.805 eV/atom; formation energy (no corrections) = 1.026 eV/atom; crystal system = tetragonal
1.0
4.8166 0.0000 0.0000
0.0000 4.8166 0.0000
0.0000 0.0000 4.8698
Nb Si Pd Au
1 1 2 1
direct
0.0000 0.0000 0.0000
0.0000 0.0000 0.5000
0.0000 0.5000 0.0000
0.5000 0.0000 0.0000
0.5000 0.5000 0.5000

***

[15]
TaNbPdAu PBE relaxed; magnetic moment = 0.0 μB per cell; final energy = -7.786 eV/atom; formation enthalpy at 0 K = -0.188 eV/atom; crystal system = tetragonal
1.0
3.3919 0.0000 0.0000
0.0000 3.3919 0.0000
0.0000 0.0000 6.0461
Ta Nb Pd Au
1 1 1 1
direct
0.0000 0.0000 0.0000
0.5000 0.5000 0.2717
0.0000 0.0000 0.5000
0.5000 0.5000 0.7571

***

[16]
TaNbPdAu PBE relaxed; magnetic moment = 0.5 μB per cell; final energy = -7.538 eV/atom; formation enthalpy at 0 K = 0.060 eV/atom; crystal system = cubic
1.0
0.0000 3.2590 3.2590
3.2590 0.0000 3.2590
3.2590 3.2590 0.0000
Ta Nb Pd Au
1 1 1 1
direct
0.0000 0.0000 0.0000
0.7500 0.7500 0.7500
0.2500 0.2500 0.2500
0.5000 0.5000 0.5000

***

[17]
TiNbPdAu PBE relaxed; magnetic moment = 2.0 μB per cell; final energy = -6.795 eV/atom; formation enthalpy at 0 K = -0.187 eV/atom; crystal system = cubic
1.0
0.0000 3.2238 3.2238
3.2238 0.0000 3.2238
3.2238 3.2238 0.0000
Ti Nb Pd Au
1 1 1 1
direct
0.0000 0.0000 0.0000
0.7500 0.7500 0.7500
0.5000 0.5000 0.5000
0.2500 0.2500 0.2500

***

[18]
TiNbPdAu PBE relaxed; magnetic moment = 0.0 μB per cell; final energy = -6.977 eV/atom; formation enthalpy at 0 K = -0.368 eV/atom; crystal system = tetragonal
1.0
3.3224 0.0000 0.0000
0.0000 3.3224 0.0000
0.0000 0.0000 6.1399
Ti Nb Pd Au
1 1 1 1
direct
0.0000 0.0000 0.0000
0.5000 0.5000 0.2739
0.0000 0.0000 0.5028
0.5000 0.5000 0.7718

***

[19]
NbTl2PdAu PBE relaxed; magnetic moment = 0.1 μB per cell; final energy = -3.462 eV/atom; formation enthalpy at 0 K = 1.192 eV/atom; crystal system = tetragonal
1.0
5.1546 0.0000 0.0000
0.0000 5.1546 0.0000
0.0000 0.0000 5.0236
Nb Tl Pd Au
1 2 1 1
direct
0.0000 0.0000 0.0000
0.0000 0.5000 0.5000
0.5000 0.0000 0.5000
0.5000 0.5000 0.0000
0.5000 0.5000 0.5000

***

[20]
Y2NbPdAu PBE relaxed; magnetic moment = 1.5 μB per cell; final energy = -6.013 eV/atom; formation enthalpy at 0 K = 0.281 eV/atom; crystal system = tetragonal
1.0
5.3823 0.0000 0.0000
0.0000 5.3823 0.0000
0.0000 0.0000 4.8294
Y Nb Pd Au
2 1 1 1
direct
0.0000 0.5000 0.0000
0.5000 0.0000 0.0000
0.0000 0.0000 0.5000
0.0000 0.0000 0.0000
0.5000 0.5000 0.5000

***

[21]
NbZnPdAu PBE relaxed; magnetic moment = 0.0 μB per cell; final energy = -5.257 eV/atom; formation enthalpy at 0 K = -0.304 eV/atom; crystal system = tetragonal
1.0
2.9034 0.0000 0.0000
0.0000 2.9034 0.0000
0.0000 0.0000 7.6968
Nb Zn Pd Au
1 1 1 1
direct
0.0000 0.0000 0.0000
0.0000 0.0000 0.5199
0.5000 0.5000 0.7437
0.5000 0.5000 0.2725

***

[22]
PmNbAu PBE relaxed; magnetic moment = 0.0 μB per cell; final energy = -6.157 eV/atom; formation enthalpy at 0 K = -0.124 eV/atom; crystal system = orthorhombic
1.0
2.5892 -2.5935 0.0000
2.5892 2.5935 0.0000
0.0000 0.0000 10.3312
Pm Nb Au
2 2 2
direct
0.0000 0.0000 0.1811
0.0000 0.0000 0.8189
0.5000 0.5000 0.3809
0.5000 0.5000 0.6191
0.0000 0.0000 0.5000
0.5000 0.5000 0.0000

***

[23]
NbPtAu PBE relaxed; magnetic moment = 0.0 μB per cell; final energy = -6.797 eV/atom; formation enthalpy at 0 K = -0.335 eV/atom; crystal system = hexagonal
1.0
4.6000 0.0000 0.0000
-2.3000 3.9837 0.0000
0.0000 0.0000 2.7795
Nb Pt Au
1 1 1
direct
0.0000 0.0000 0.0000
0.6667 0.3333 0.5000
0.3333 0.6667 0.5000

***

[24]
Nb2PtAu PBE relaxed; magnetic moment = 0.0 μB per cell; final energy = -7.171 eV/atom; formation enthalpy at 0 K = 0.194 eV/atom; crystal system = trigonal
1.0
1.4298 0.8255 10.2087
-1.4298 0.8255 10.2087
0.0000 -1.6510 10.2087
Nb Pt Au
2 1 1
direct
0.0858 0.0858 0.0858
0.9142 0.9142 0.9142
0.0000 0.0000 0.0000
0.5000 0.5000 0.5000

***

[25]
NbPt2Au PBE relaxed; magnetic moment = 0.0 μB per cell; final energy = -6.352 eV/atom; formation enthalpy at 0 K = 0.005 eV/atom; crystal system = tetragonal
1.0
-3.6472 3.6472 2.7906
3.6472 -3.6472 2.7906
3.6472 3.6472 -2.7906
Nb Pt Au
2 4 2
direct
0.0000 0.0000 0.0000
0.7500 0.2500 0.5000
0.1047 0.1250 0.4797
0.3750 0.8953 0.0203
0.6453 0.6250 0.5203
0.8750 0.3547 0.9797
0.2500 0.7500 0.5000
0.5000 0.5000 0.0000

***

[26]
NbPtAu PBE relaxed; magnetic moment = 0.0 μB per cell; final energy = -6.784 eV/atom; formation enthalpy at 0 K = -0.321 eV/atom; crystal system = monoclinic
1.0
4.6923 -1.4208 0.0000
4.6923 1.4208 0.0000
-0.8506 0.0000 7.8143
Nb Pt Au
2 2 2
direct
0.1138 0.1138 0.2212
0.8862 0.8862 0.7788
0.3736 0.3736 0.0830
0.6264 0.6264 0.9170
0.1402 0.1402 0.5912
0.8598 0.8598 0.4088